1.
Nd2ThV after structural relaxation. Source: the Alexandria database, functional PBE.

a b c (Å): 11.776 11.776 11.776
angles (deg): 16.95 16.95 16.95
Fractional positions:
Nd 0.082 0.082 0.082
Nd 0.918 0.918 0.918
Th 0.500 0.500 0.500
V 0.000 0.000 0.000

Summary:
DFT total energy = -23.6 eV for the cell shown
Crystal system = trigonal
Calculated density = 7.84 g cm⁻³



2.
Nd12Y7Th after structural relaxation. Source: the Alexandria database, functional PBE.

a b c (Å): 10.097 10.097 10.097
angles (deg): 109.47 109.47 109.47
Fractional positions:
Nd 0.000 0.225 0.775
Nd 0.000 0.775 0.225
Nd 0.225 0.000 0.775
Nd 0.225 0.225 0.451
Nd 0.225 0.451 0.225
Nd 0.225 0.775 0.000
Nd 0.451 0.225 0.225
Nd 0.549 0.775 0.775
Nd 0.775 0.000 0.225
Nd 0.775 0.225 0.000
Nd 0.775 0.549 0.775
Nd 0.775 0.775 0.549
Y 0.000 0.000 0.500
Y 0.000 0.500 0.000
Y 0.000 0.500 0.500
Y 0.500 0.000 0.000
Y 0.500 0.000 0.500
Y 0.500 0.500 0.000
Y 0.500 0.500 0.500
Th 0.000 0.000 0.000

Summary:
Distance to the lowest polymorph of the same formula = 505.9 meV/atom
DFT total energy = -95.6 eV for the cell shown
Crystal system = cubic
Calculated density = 5.42 g cm⁻³